(1)
La6Ho3Th: optimized geometry, PBE-GGA.

Structure (extended XYZ):
```
20
Lattice="6.3097 0.0000 0.0000 0.0000 3.6666 0.0000 -2.0613 0.0000 29.8041" Properties=species:S:1:pos:R:3 pbc="T T T"
La -0.0175 0.0000 8.9201
La -1.0324 1.8333 26.8809
La 0.0578 0.0000 17.8402
La 0.0558 0.0000 23.7863
La 1.1081 1.8333 12.0027
La 2.0692 0.0000 2.9440
La 2.1793 0.0000 26.8601
La 3.1404 1.8333 17.8014
La 4.1926 0.0000 6.0178
La 4.1907 0.0000 11.9638
La 5.2809 1.8333 2.9232
La 4.2659 0.0000 20.8840
Ho -1.0306 1.8333 14.9020
Ho 1.0472 1.8333 6.0048
Ho 1.1188 1.8333 20.8663
Ho 3.1549 1.8333 0.0000
Ho 3.1296 1.8333 8.9378
Ho 3.2012 1.8333 23.7992
Th 0.0000 0.0000 0.0000
Th 2.1242 0.0000 14.9020
```

Calculated volume, Å³/f.u.: 344.8
Fermi-level density of states, states/eV/cell: 30.28
Energy of formation from the pure elements, eV per atom: 0.02
Space group: No. 10



(2)
LaHo3Th2: optimized geometry, PBE-GGA.

Structure (extended XYZ):
```
12
Lattice="1.8042 -9.3463 0.0000 1.8042 9.3463 0.0000 0.0000 0.0000 11.6007" Properties=species:S:1:pos:R:3 pbc="T T T"
La 1.8042 5.2297 8.7005
La 1.8042 -5.2297 2.9002
Ho 1.8042 7.4043 2.9002
Ho 1.8042 3.0410 5.8801
Ho 1.8042 3.0410 11.5209
Ho 1.8042 -3.0410 0.0798
Ho 1.8042 -3.0410 5.7206
Ho 1.8042 -7.4043 8.7005
Th 0.0000 0.0000 0.0000
Th 0.0000 0.0000 5.8003
Th 1.8042 1.0651 2.9002
Th 1.8042 -1.0651 8.7005
```

Polymorph energy (0 for the lowest one), meV/atom: 0
Calculated volume, Å³/f.u.: 195.6
Fermi-level density of states, states/eV/cell: 18.14
Energy of formation from the pure elements, eV per atom: 0.03
Space group: No. 63



(3)
La8Ho3Th: optimized geometry, PBE-GGA.

Structure (extended XYZ):
```
12
Lattice="7.9306 -4.4669 0.0000 7.9306 4.4669 0.0000 -2.6243 0.0000 5.9184" Properties=species:S:1:pos:R:3 pbc="T T T"
La 0.2618 0.0000 1.9017
La 0.3615 0.1012 5.3587
La 3.0677 -2.0927 2.0453
La 3.6196 -1.2151 5.2148
La 9.6173 -1.2151 0.7035
La 12.8754 0.1012 0.5596
La 12.9750 0.0000 4.0167
La 10.1692 -2.0927 3.8730
Ho 5.0522 1.2851 2.1123
Ho 7.9306 1.6766 0.0000
Ho 8.1846 1.2851 3.8061
Th 6.6184 -1.6864 2.9592
```

Calculated volume, Å³/f.u.: 419.3
Fermi-level density of states, states/eV/cell: 18.49
Energy of formation from the pure elements, eV per atom: 0.11
Space group: No. 5



(4)
La6HoTh3: optimized geometry, PBE-GGA.

Structure (extended XYZ):
```
10
Lattice="5.0596 2.9212 4.1249 -5.0596 2.9212 4.1249 0.0000 -5.8423 4.1249" Properties=species:S:1:pos:R:3 pbc="T T T"
La -1.6288 -3.0063 4.1249
La -3.2724 -0.0265 6.2104
La -1.7891 2.9138 4.1249
La 1.6591 -2.8207 6.2104
La 3.4180 0.0925 4.1249
La 1.6133 2.8472 6.2104
Ho 0.0000 0.0000 3.1172
Th 0.0000 0.0000 0.0559
Th 0.0000 0.0000 6.2100
Th 0.0000 0.0000 9.2988
```

Calculated volume, Å³/f.u.: 365.8
Fermi-level density of states, states/eV/cell: 17.57
Energy of formation from the pure elements, eV per atom: 0.25
Space group: No. 146



(5)
LaHo3Th2: optimized geometry, PBE-GGA.

Structure (extended XYZ):
```
12
Lattice="3.4562 -5.7263 0.0000 3.4562 5.7263 0.0000 0.0000 0.0000 11.3194" Properties=species:S:1:pos:R:3 pbc="T T T"
La 3.4562 5.2656 8.4896
La 3.4562 -5.2656 2.8299
Ho 1.6762 2.5633 8.4896
Ho 1.6762 -2.5633 2.8299
Ho 3.4562 0.1970 2.8299
Ho 3.4562 -0.1970 8.4896
Ho 5.2361 2.5633 8.4896
Ho 5.2361 -2.5633 2.8299
Th 1.7304 0.0000 0.0000
Th 1.7304 0.0000 5.6597
Th 5.1820 0.0000 0.0000
Th 5.1820 0.0000 5.6597
```

Polymorph energy (0 for the lowest one), meV/atom: 569
Calculated volume, Å³/f.u.: 224.0
Fermi-level density of states, states/eV/cell: 16.62
Energy of formation from the pure elements, eV per atom: 0.60
Space group: No. 63



(6)
La2Ho7Th2: optimized geometry, PBE-GGA.

Structure (extended XYZ):
```
11
Lattice="5.6084 -5.7572 0.0000 5.6084 5.7572 0.0000 -2.4819 0.0000 5.6320" Properties=species:S:1:pos:R:3 pbc="T T T"
La 5.6084 3.2861 0.0000
La 5.6084 -3.2861 0.0000
Ho -1.2410 0.0000 2.8160
Ho 2.8634 3.0129 1.8920
Ho 2.6041 0.0000 0.4329
Ho 5.8716 3.0129 3.7400
Ho 2.8634 -3.0129 1.8920
Ho 6.1309 0.0000 5.1991
Ho 5.8716 -3.0129 3.7400
Th 2.8324 0.0000 3.8482
Th 5.9025 0.0000 1.7837
```

Polymorph energy (0 for the lowest one), meV/atom: 0
Calculated volume, Å³/f.u.: 363.7
Fermi-level density of states, states/eV/cell: 17.71
Energy of formation from the pure elements, eV per atom: 0.19
Space group: No. 12